Crystalline Ca3Sm2Pd2 at its relaxed geometry, computed with GGA-PBE.

The structure belongs to space group C2/m (No. 12); the cell edges are 12.916, 3.995 and 8.777 Å and the angles 90.00°, 111.76° and 90.00°. The distinct sites, in fractional coordinates, are Ca at (0.000, 0.000, 0.000), Ca at (0.122, 0.000, 0.431), Sm at (0.169, 0.500, 0.822) and Pd at (0.180, 0.500, 0.196).

For the energy of formation, the calculation gives -3.09 eV per formula unit. For the total magnetization, the calculation gives 0.00 Bohr magnetons per cell. Its calculated total energy is -4.132 eV per atom.

Crystalline CaSmPd2 at its relaxed geometry, computed with GGA-PBE.

The structure belongs to space group P4/mmm (No. 123); the cell edges are 3.563, 3.563 and 7.126 Å and the angles 90.00°, 90.00° and 90.00°. The distinct sites, in fractional coordinates, are Ca at (0.000, 0.000, 0.000), Sm at (0.000, 0.000, 0.500) and Pd at (0.500, 0.500, 0.264).

For the energy of formation, the calculation gives -3.09 eV per formula unit. For the total magnetization, the calculation gives 0.00 Bohr magnetons per cell. Its calculated total energy is -5.048 eV per atom. Its energy above the most stable polymorph in this dataset is 0.0000 eV per atom.

Crystalline CaSm2Pd at its relaxed geometry, computed with GGA-PBE.

The structure belongs to space group P4/mmm (No. 123); the cell edges are 3.619, 3.619 and 9.389 Å and the angles 90.00°, 90.00° and 90.00°. The distinct sites, in fractional coordinates, are Ca at (0.000, 0.000, 0.000), Sm at (0.500, 0.500, 0.320) and Pd at (0.000, 0.000, 0.500).

For the energy of formation, the calculation gives -1.32 eV per formula unit. For the total magnetization, the calculation gives 0.00 Bohr magnetons per cell. Its calculated total energy is -4.489 eV per atom. Its energy above the most stable polymorph in this dataset is 0.0722 eV per atom.

Crystalline CaSmPd3 at its relaxed geometry, computed with GGA-PBE.

The structure belongs to space group P2_1/c (No. 14); the cell edges are 7.203, 5.602 and 10.690 Å and the angles 90.00°, 100.29° and 90.00°. The distinct sites, in fractional coordinates, are Ca at (0.134, 0.247, 0.030), Sm at (0.376, 0.744, 0.878), Pd at (0.002, 0.001, 0.251), Pd at (0.267, 0.742, 0.118) and Pd at (0.345, 0.244, 0.813).

For the energy of formation, the calculation gives -3.56 eV per formula unit. For the total magnetization, the calculation gives 0.00 Bohr magnetons per cell. Its calculated total energy is -5.173 eV per atom.

Crystalline CaSmPd2 at its relaxed geometry, computed with GGA-PBE.

The structure belongs to space group R3m (No. 160, hexagonal axes); the cell edges are 4.0423, 4.0423 and 21.5810 Å and the angles 90.00°, 90.00° and 120.00°. The distinct sites, in fractional coordinates, are Ca at (0.0000, 0.0000, 0.0000), Sm at (0.0000, 0.0000, 0.1714), Pd at (0.0000, 0.0000, 0.5856) and Pd at (0.0000, 0.0000, 0.7543).

For the energy of formation, the calculation gives -2.36 eV per formula unit. For the total magnetization, the calculation gives 0.00 Bohr magnetons per cell. Its calculated total energy is -4.866 eV per atom. Its energy above the most stable polymorph in this dataset is 0.1825 eV per atom.

Crystalline CaSm3Pd2 at its relaxed geometry, computed with GGA-PBE.

The structure belongs to space group Pmc2_1 (No. 26); the cell edges are 3.945, 9.789 and 8.562 Å and the angles 90.00°, 90.00° and 90.00°. The distinct sites, in fractional coordinates, are Ca at (0.000, 0.077, 0.000), Sm at (0.000, 0.293, 0.654), Sm at (0.500, 0.205, 0.331), Sm at (0.500, 0.440, 0.975), Pd at (0.000, 0.409, 0.248) and Pd at (0.500, 0.083, 0.715).

For the energy of formation, the calculation gives -3.18 eV per formula unit. For the total magnetization, the calculation gives 0.00 Bohr magnetons per cell. Its calculated total energy is -4.953 eV per atom.

Crystalline Ca3SmPd4 at its relaxed geometry, computed with GGA-PBE.

The structure belongs to space group P4/mmm (No. 123); the cell edges are 3.551, 3.551 and 14.205 Å and the angles 90.00°, 90.00° and 90.00°. The distinct sites, in fractional coordinates, are Ca at (0.000, 0.000, 0.000), Ca at (0.000, 0.000, 0.246), Sm at (0.000, 0.000, 0.500), Pd at (0.500, 0.500, 0.124) and Pd at (0.500, 0.500, 0.380).

For the energy of formation, the calculation gives -5.80 eV per formula unit. For the total magnetization, the calculation gives 0.00 Bohr magnetons per cell. Its calculated total energy is -4.662 eV per atom.

Crystalline Ca5SmPd6 at its relaxed geometry, computed with GGA-PBE.

The structure belongs to space group Cmmm (No. 65); the cell edges are 4.996, 14.951 and 7.145 Å and the angles 90.00°, 90.00° and 90.00°. The distinct sites, in fractional coordinates, are Ca at (0.000, 0.000, 0.000), Ca at (0.000, 0.330, 0.500), Ca at (0.000, 0.334, 0.000), Sm at (0.000, 0.000, 0.500), Pd at (0.000, 0.162, 0.252) and Pd at (0.000, 0.500, 0.262).

For the energy of formation, the calculation gives -8.51 eV per formula unit. For the total magnetization, the calculation gives 0.00 Bohr magnetons per cell. Its calculated total energy is -4.533 eV per atom.